(i)
Material: FeSi2Br
Method: DFT, GGA-PBE
State: relaxed

a b c (Å): 2.9852 4.4315 4.9962
angles (deg): 90.00 90.00 90.00
With the nearest neighbours (Å) after each atom.
Fractional coordinates of all 4 atoms:
Br1 0.5000 0.0000 0.5000  4 Fe 2.67, 4 Si 2.91, 2 Br 2.99
Fe1 0.0000 0.5000 0.5000  4 Br 2.67, 4 Si 2.91, 2 Fe 2.99
Si1 0.0000 0.0000 0.0000  6 Si 2.67-2.99, 4 Br 2.91
Si2 0.5000 0.5000 0.0000  6 Si 2.67-2.99, 4 Fe 2.91

volume = 16.523 A^3/atom



(ii)
Material: FeSi2Br
Method: DFT, GGA-PBE
State: relaxed

a b c (Å): 7.2079 7.2079 7.2079
angles (deg): 29.96 29.96 29.96
With the nearest neighbours (Å) after each atom.
Fractional coordinates of all 4 atoms:
Br1 0.4766 0.4766 0.4766  3 Fe 2.63
Fe1 0.7367 0.7367 0.7367  3 Si 2.63, 3 Br 2.63
Si1 0.9968 0.9968 0.9968  3 Si 2.31
Si2 0.2899 0.2899 0.2899  3 Si 2.31

volume = 20.680 A^3/atom



(iii)
Material: FeSi2Br
Method: DFT, GGA-PBE
State: relaxed

a b c (Å): 4.4754 4.4754 4.4754
angles (deg): 60.00 60.00 60.00
With the nearest neighbours (Å) after each atom.
Fractional coordinates of all 4 atoms:
Si1 0.2500 0.2500 0.2500  4 Br 2.74, 4 Fe 2.74
Si2 0.7500 0.7500 0.7500  4 Br 2.74, 4 Fe 2.74
Fe1 0.0000 0.0000 0.0000  8 Si 2.74
Br1 0.5000 0.5000 0.5000  8 Si 2.74

volume = 15.846 A^3/atom



Q: Which of them is the most stable? A: (ii).



(i)
Material: FeSiBr
Method: DFT, GGA-PBE
State: relaxed

a b c (Å): 4.0998 4.0998 4.0998
angles (deg): 60.00 60.00 60.00
With the nearest neighbours (Å) after each atom.
Fractional coordinates of all 3 atoms:
Br1 0.5000 0.5000 0.5000  4 Fe 2.51
Fe1 0.7500 0.7500 0.7500  4 Br 2.51, 4 Si 2.51
Si1 0.0000 0.0000 0.0000  4 Fe 2.51

volume = 16.242 A^3/atom



(ii)
Material: FeSiBr
Method: DFT, GGA-PBE
State: relaxed

a b c (Å): 4.4862 4.4862 4.4862
angles (deg): 60.00 60.00 60.00
With the nearest neighbours (Å) after each atom.
Fractional coordinates of all 3 atoms:
Br1 0.0000 0.0000 0.0000  4 Si 2.75
Fe1 0.5000 0.5000 0.5000  4 Si 2.75
Si1 0.7500 0.7500 0.7500  4 Fe 2.75, 4 Br 2.75

volume = 21.282 A^3/atom



Q: Which of them is the most stable? A: (i).



(i)
Material: FeSiBr
Method: DFT, GGA-PBE
State: relaxed

a b c (Å): 6.2565 6.2564 3.2705
angles (deg): 74.85 74.85 30.30
With the nearest neighbours (Å) after each atom.
Fractional coordinates of all 3 atoms:
Br1 0.9600 0.9600 0.0400  1 Si 2.59
Fe1 0.3029 0.3029 0.6971  4 Si 2.44
Si1 0.7370 0.7370 0.2630  4 Fe 2.44, 1 Br 2.59

volume = 20.727 A^3/atom



(ii)
Material: FeSiBr
Method: DFT, GGA-PBE
State: relaxed

a b c (Å): 3.4013 3.4013 5.5053
angles (deg): 90.00 90.00 120.00
With the nearest neighbours (Å) after each atom.
Fractional coordinates of all 3 atoms:
Br1 0.0000 0.0000 0.0492  3 Fe 2.61
Fe1 0.6667 0.3333 0.3611  3 Si 2.33, 3 Br 2.61
Si1 0.3333 0.6667 0.5897  3 Fe 2.33

volume = 18.386 A^3/atom



Q: Which of them is the most stable? A: (ii).



(i)
Material: FeSn2Br
Method: DFT, GGA-PBE
State: relaxed

a b c (Å): 6.2190 6.2190 7.9877
angles (deg): 67.09 67.09 90.00
With the nearest neighbours (Å) after each atom.
Fractional coordinates of all 8 atoms:
Sn1 0.5300 0.1250 0.2500  2 Fe 2.48
Sn2 0.2200 0.6250 0.2500  2 Fe 2.48
Sn3 0.3750 0.4700 0.7500  2 Fe 2.48
Sn4 0.8750 0.7800 0.7500  2 Fe 2.48
Br1 0.0000 0.0000 0.0000  4 Sn 3.13
Br2 0.7500 0.2500 0.5000  4 Sn 3.13
Fe1 0.5000 0.5000 0.0000  4 Sn 2.48
Fe2 0.2500 0.7500 0.5000  4 Sn 2.48

volume = 32.237 A^3/atom



(ii)
Material: FeSn2Br
Method: DFT, GGA-PBE
State: relaxed

a b c (Å): 5.0884 5.0884 5.0884
angles (deg): 60.00 60.00 60.00
With the nearest neighbours (Å) after each atom.
Fractional coordinates of all 4 atoms:
Sn1 0.2500 0.2500 0.2500  4 Fe 3.12, 4 Br 3.12
Sn2 0.7500 0.7500 0.7500  4 Fe 3.12, 4 Br 3.12
Br1 0.5000 0.5000 0.5000  8 Sn 3.12
Fe1 0.0000 0.0000 0.0000  8 Sn 3.12

volume = 23.289 A^3/atom



Q: Which of them is the most stable? A: (i).